A geometry-optimized RbNpSnSe3 structure, computed with PBE.

Values from the calculation:
DOS at the Fermi energy = 1.711 states/eV/atom
SG = No. 11
ρ = 5.385 g/cm³
Total magnetization = 0.65 μB/atom
Formation energy without anion corrections = -0.9582 eV per atom

a = 4.2809 Å, b = 8.9168 Å, c = 11.5104 Å
α = 107.87°, β = 90.00°, γ = 90.00°
Last column: magnetic moment on the atom in μB.
Fractional positions:
Rb  0.2500  0.2209  0.2558  0.00
Rb  0.7500  0.7791  0.7442  0.00
Np  0.2500  0.6411  0.1514  -3.92
Np  0.7500  0.3589  0.8486  -3.92
Sn  0.2500  0.1467  0.5653  -0.01
Sn  0.7500  0.8533  0.4347  -0.01
Se  0.7500  0.8817  0.2076  0.05
Se  0.2500  0.1183  0.7924  0.05
Se  0.2500  0.6464  0.4074  0.03
Se  0.7500  0.3536  0.5926  0.03
Se  0.7500  0.4108  0.1068  0.08
Se  0.2500  0.5892  0.8932  0.08